# ZnGa5Rh6

A relaxed structure of ZnGa5Rh6 (PBE-GGA, Alexandria via LeMat-Bulk).

Properties
The value obtained for the final energy is -5.7269 eV/atom. Its space-group type is Cmmm (65). As for the density of states at the Fermi level: 2.3 states/eV/f.u. As for the formation energy: -684 meV per atom.

a = 4.286 Å, b = 6.060 Å, c = 6.772 Å
α = 90.00°, β = 71.55°, γ = 90.00°
Atoms (fractional coordinates):
Zn1 0.000 0.000 0.000
Rh1 0.831 0.749 0.337
Rh2 0.831 0.251 0.337
Rh3 0.500 0.255 0.000
Rh4 0.500 0.745 0.000
Rh5 0.169 0.749 0.663
Rh6 0.169 0.251 0.663
Ga1 0.667 0.500 0.666
Ga2 0.337 0.000 0.327
Ga3 0.000 0.500 0.000
Ga4 0.663 0.000 0.673
Ga5 0.333 0.500 0.334